Here is an optimized crystal structure of Fe2PPt from Alexandria via LeMat-Bulk. Energies are from GGA-PBEsol.

Cell: 3.5506 3.5506 7.9003 Å, 90.00 90.00 90.00°
Space group I4/mmm (No. 139)
Symmetry-distinct sites (fractional):
Fe1 0.0000 0.5000 0.2500 x4
P1 0.0000 0.0000 0.0000 x2
Pt1 0.0000 0.0000 0.5000 x2

Calculated values
M_tot = 11.30 μB per cell
Total DFT energy (no corrections) = -62.19 eV per cell
Formation energy from the elements = -103.8 meV/atom
Crystal system = tetragonal

***

Here is an optimized crystal structure of Fe2PPt from Alexandria via LeMat-Bulk. Energies are from GGA-PBEsol.

Cell: 2.8183 4.2170 8.0722 Å, 90.00 90.00 90.00°
Space group Immm (No. 71)
Symmetry-distinct sites (fractional):
Fe1 0.0000 0.0000 0.2158 x4
P1 0.0000 0.5000 0.5000 x2
Pt1 0.0000 0.5000 0.0000 x2

Calculated values
M_tot = 7.82 μB per cell
Total DFT energy (no corrections) = -62.83 eV per cell
Formation energy from the elements = -182.8 meV/atom
Crystal system = orthorhombic